No. 1
# GGA-PBE Ba2TlSe, relaxed
# Size of the total moment   0.0 μB per formula unit
# Formation energy from raw total energies   -0.404 eV per atom
data_Ba2TlSe
_chemical_formula_sum 'Ba8 Tl4 Se4'
_space_group_name_H-M_alt 'F -4 3 m'
_space_group_IT_number 216
_space_group_name_Hall 'F -4 2 3'
_cell_length_a 8.231
_cell_length_b 8.231
_cell_length_c 8.231
_cell_angle_alpha 90.00
_cell_angle_beta 90.00
_cell_angle_gamma 90.00
loop_
_atom_site_label
_atom_site_type_symbol
_atom_site_fract_x
_atom_site_fract_y
_atom_site_fract_z
_atom_site_occupancy
Ba1 Ba 0.000 0.000 0.000 1
Ba2 Ba 0.250 0.250 0.250 1
Tl1 Tl 0.250 0.250 0.750 1
Se1 Se 0.000 0.000 0.500 1

---

No. 2
# GGA-PBE Sr2ErMg2In5, relaxed
# Size of the total moment   0.0 μB per formula unit
# Energy of formation from the pure elements   -0.2968 eV per atom
data_Sr2ErMg2In5
_chemical_formula_sum 'Sr4 Er2 Mg4 In10'
_space_group_name_H-M_alt 'P 4/m b m'
_space_group_IT_number 127
_space_group_name_Hall '-P 4 2ab'
_cell_length_a 11.080
_cell_length_b 11.080
_cell_length_c 4.523
_cell_angle_alpha 90.00
_cell_angle_beta 90.00
_cell_angle_gamma 90.00
loop_
_atom_site_label
_atom_site_type_symbol
_atom_site_fract_x
_atom_site_fract_y
_atom_site_fract_z
_atom_site_occupancy
Sr1 Sr 0.176 0.324 0.000 1
Er1 Er 0.000 0.000 0.000 1
Mg1 Mg 0.120 0.620 0.000 1
In1 In 0.000 0.500 0.500 1
In2 In 0.064 0.795 0.500 1